! CaScW2, relaxed, DFT PBEsol; values from VASP
! * density: 10.02 g cm⁻³
! * relative energy among the computed polymorphs: 60 kJ/mol of formula units
! * formation energy: 0.6584 eV per atom
&SYSTEM
  ibrav = 0, nat = 4, ntyp = 3
/
ATOMIC_SPECIES
Ca 40.08 Ca.upf
Sc 44.96 Sc.upf
W 183.84 W.upf
ATOMIC_POSITIONS angstrom
Ca 0.0000 0.0000 0.0000
Sc 0.0000 0.0000 4.9291
W 1.3794 1.3794 2.6186
W 1.3794 1.3794 7.2395
CELL_PARAMETERS angstrom
2.7588 0.0000 0.0000
0.0000 2.7588 0.0000
0.0000 0.0000 9.8581

=====

! Ca2ScW, relaxed, DFT PBEsol; values from VASP
! * density: 5.48 g cm⁻³
! * relative energy among the computed polymorphs: 9 kJ/mol of formula units
! * formation energy: 0.7983 eV per atom
&SYSTEM
  ibrav = 0, nat = 4, ntyp = 3
/
ATOMIC_SPECIES
Ca 40.08 Ca.upf
Sc 44.96 Sc.upf
W 183.84 W.upf
ATOMIC_POSITIONS angstrom
Ca 0.0000 0.0000 0.0000
Ca 1.8024 1.8024 1.8024
Sc 5.4071 5.4071 5.4071
W 3.6048 3.6048 3.6048
CELL_PARAMETERS angstrom
0.0000 3.6048 3.6048
3.6048 0.0000 3.6048
3.6048 3.6048 0.0000

=====

! CaScW2, relaxed, DFT PBEsol; values from VASP
! * density: 9.45 g cm⁻³
! * relative energy among the computed polymorphs: 0 kJ/mol of formula units
! * formation energy: 0.5020 eV per atom
&SYSTEM
  ibrav = 0, nat = 4, ntyp = 3
/
ATOMIC_SPECIES
Ca 40.08 Ca.upf
Sc 44.96 Sc.upf
W 183.84 W.upf
ATOMIC_POSITIONS angstrom
Ca 0.0000 0.0000 0.0000
Sc 1.6534 0.0000 6.8646
W 0.0000 0.0000 4.5734
W 1.6534 0.0000 2.5794
CELL_PARAMETERS angstrom
1.6534 -2.3995 0.0000
1.6534 2.3995 0.0000
0.0000 0.0000 10.0236

=====

! CaScW2, relaxed, DFT PBEsol; values from VASP
! * density: 10.09 g cm⁻³
! * relative energy among the computed polymorphs: 56 kJ/mol of formula units
! * formation energy: 0.6483 eV per atom
&SYSTEM
  ibrav = 0, nat = 4, ntyp = 3
/
ATOMIC_SPECIES
Ca 40.08 Ca.upf
Sc 44.96 Sc.upf
W 183.84 W.upf
ATOMIC_POSITIONS angstrom
Ca 0.0000 0.0000 0.0000
Sc 0.0000 0.0000 4.9390
W 1.7351 0.0000 2.6169
W 1.7351 0.0000 7.2610
CELL_PARAMETERS angstrom
1.7351 -2.1741 0.0000
1.7351 2.1741 0.0000
0.0000 0.0000 9.8779

=====

! Ca2ScW, relaxed, DFT PBEsol; values from VASP
! * density: 5.47 g cm⁻³
! * relative energy among the computed polymorphs: 0 kJ/mol of formula units
! * formation energy: 0.7754 eV per atom
&SYSTEM
  ibrav = 0, nat = 4, ntyp = 3
/
ATOMIC_SPECIES
Ca 40.08 Ca.upf
Sc 44.96 Sc.upf
W 183.84 W.upf
ATOMIC_POSITIONS angstrom
Ca 2.4191 0.0000 1.2923
Ca 7.8156 0.0000 4.2657
Sc -0.3956 0.0000 2.7790
W 5.5130 0.0000 0.0000
CELL_PARAMETERS angstrom
5.5130 -1.5302 0.0000
5.5130 1.5302 0.0000
-0.7912 0.0000 5.5580

=====

! CaSc4W, relaxed, DFT PBEsol; values from VASP
! * density: 4.91 g cm⁻³
! * formation energy: 0.7249 eV per atom
&SYSTEM
  ibrav = 0, nat = 6, ntyp = 3
/
ATOMIC_SPECIES
Ca 40.08 Ca.upf
Sc 44.96 Sc.upf
W 183.84 W.upf
ATOMIC_POSITIONS angstrom
Ca 0.0000 0.0000 0.0000
Sc 3.0976 3.0976 3.0976
Sc 5.0743 5.0743 3.0976
Sc 5.0743 3.0976 5.0743
Sc 3.0976 5.0743 5.0743
W 6.1289 6.1289 6.1289
CELL_PARAMETERS angstrom
0.0000 4.0859 4.0859
4.0859 0.0000 4.0859
4.0859 4.0859 0.0000

=====

! CaScW3, relaxed, DFT PBEsol; values from VASP
! * density: 10.13 g cm⁻³
! * formation energy: 2.1620 eV per atom
&SYSTEM
  ibrav = 0, nat = 5, ntyp = 3
/
ATOMIC_SPECIES
Ca 40.08 Ca.upf
Sc 44.96 Sc.upf
W 183.84 W.upf
ATOMIC_POSITIONS angstrom
Ca 0.0000 0.0000 0.0000
Sc 2.3538 2.3538 2.3538
W 0.0000 2.3538 2.3538
W 2.3538 0.0000 2.3538
W 2.3538 2.3538 0.0000
CELL_PARAMETERS angstrom
4.7076 0.0000 0.0000
0.0000 4.7076 0.0000
0.0000 0.0000 4.7076

=====

! CaY2Sc, relaxed, DFT PBEsol; values from VASP
! * density: 3.62 g cm⁻³
! * relative energy among the computed polymorphs: 39 kJ/mol of formula units
! * formation energy: 0.1768 eV per atom
&SYSTEM
  ibrav = 0, nat = 4, ntyp = 3
/
ATOMIC_SPECIES
Ca 40.08 Ca.upf
Y 88.91 Y.upf
Sc 44.96 Sc.upf
ATOMIC_POSITIONS angstrom
Ca 0.0000 0.0000 0.0000
Y 1.9599 1.9599 1.9599
Y 5.8796 5.8796 5.8796
Sc 3.9197 3.9197 3.9197
CELL_PARAMETERS angstrom
0.0000 3.9197 3.9197
3.9197 0.0000 3.9197
3.9197 3.9197 0.0000

=====

! CaYSc2, relaxed, DFT PBEsol; values from VASP
! * density: 3.22 g cm⁻³
! * relative energy among the computed polymorphs: 30 kJ/mol of formula units
! * formation energy: 0.1898 eV per atom
&SYSTEM
  ibrav = 0, nat = 4, ntyp = 3
/
ATOMIC_SPECIES
Ca 40.08 Ca.upf
Y 88.91 Y.upf
Sc 44.96 Sc.upf
ATOMIC_POSITIONS angstrom
Ca 0.0000 0.0000 0.0000
Y 3.4272 0.0000 0.0000
Sc 1.7136 2.4166 1.7018
Sc 1.7136 -2.4166 1.7018
CELL_PARAMETERS angstrom
3.4272 -4.8332 0.0000
3.4272 4.8332 0.0000
0.0000 0.0000 3.4036

=====

! CaYSc2, relaxed, DFT PBEsol; values from VASP
! * density: 3.09 g cm⁻³
! * relative energy among the computed polymorphs: 0 kJ/mol of formula units
! * formation energy: 0.1117 eV per atom
&SYSTEM
  ibrav = 0, nat = 4, ntyp = 3
/
ATOMIC_SPECIES
Ca 40.08 Ca.upf
Y 88.91 Y.upf
Sc 44.96 Sc.upf
ATOMIC_POSITIONS angstrom
Ca 0.0000 0.0000 0.0000
Y 1.8526 1.8526 5.8754
Sc 0.0000 0.0000 3.9630
Sc 1.8526 1.8526 2.3821
CELL_PARAMETERS angstrom
3.7051 0.0000 0.0000
0.0000 3.7051 0.0000
0.0000 0.0000 8.5647

=====

! CaY2Sc, relaxed, DFT PBEsol; values from VASP
! * density: 3.58 g cm⁻³
! * relative energy among the computed polymorphs: 6 kJ/mol of formula units
! * formation energy: 0.0921 eV per atom
&SYSTEM
  ibrav = 0, nat = 4, ntyp = 3
/
ATOMIC_SPECIES
Ca 40.08 Ca.upf
Y 88.91 Y.upf
Sc 44.96 Sc.upf
ATOMIC_POSITIONS angstrom
Ca 0.0000 0.0000 0.0000
Y 0.0000 0.0000 8.4197
Y 0.0000 0.0000 26.3594
Sc 0.0000 0.0000 17.3896
CELL_PARAMETERS angstrom
1.7432 1.0065 11.5931
-1.7432 1.0065 11.5931
0.0000 -2.0129 11.5931

=====

! CaY2Sc, relaxed, DFT PBEsol; values from VASP
! * density: 3.63 g cm⁻³
! * relative energy among the computed polymorphs: 36 kJ/mol of formula units
! * formation energy: 0.1697 eV per atom
&SYSTEM
  ibrav = 0, nat = 4, ntyp = 3
/
ATOMIC_SPECIES
Ca 40.08 Ca.upf
Y 88.91 Y.upf
Sc 44.96 Sc.upf
ATOMIC_POSITIONS angstrom
Ca 0.0000 0.0000 0.0000
Y 1.7532 2.4573 1.7435
Y 1.7532 -2.4573 1.7435
Sc 3.5064 0.0000 0.0000
CELL_PARAMETERS angstrom
3.5064 -4.9146 0.0000
3.5064 4.9146 0.0000
0.0000 0.0000 3.4870

=====

- Number 4 is which compound?
  CaScW2